Below is a geometry-optimized Rb2Co2F7 structure, with properties calculated at the PBE with a Hubbard U level. Values from VASP.

## Properties
* space group: C2/m (12)
* spin magnetization: 7.00 Bohr magnetons per cell
* Fermi-level density of states: 4.75 states/eV per cell
* electronic total energy: -4.58 eV/atom

The structure in Quantum ESPRESSO input format:
```
&SYSTEM
  ibrav = 0, nat = 11, ntyp = 3
/
ATOMIC_SPECIES
Rb 85.47 Rb.upf
Co 58.93 Co.upf
F 19.00 F.upf
CELL_PARAMETERS angstrom
4.037 -5.433 0.000
4.037 5.433 0.000
-1.071 0.000 5.784
ATOMIC_POSITIONS crystal
Rb 0.195 0.805 0.000
Rb 0.805 0.195 0.000
Co 0.279 0.279 0.583
Co 0.721 0.721 0.417
F 0.129 0.404 0.765
F 0.135 0.135 0.301
F 0.404 0.129 0.765
F 0.500 0.500 0.500
F 0.596 0.871 0.235
F 0.865 0.865 0.699
F 0.871 0.596 0.235
```